# Y2ZnFe (GGA-PBE, relaxed)
data_Y2ZnFe
_chemical_formula_sum 'Y4 Zn2 Fe2'
_space_group_name_H-M_alt 'I -4 m 2'
_space_group_IT_number 119
_space_group_name_Hall 'I -4 -2'
_cell_length_a 4.235
_cell_length_b 4.235
_cell_length_c 9.584
_cell_angle_alpha 90.00
_cell_angle_beta 90.00
_cell_angle_gamma 90.00
loop_
_atom_site_label
_atom_site_type_symbol
_atom_site_fract_x
_atom_site_fract_y
_atom_site_fract_z
Y1 Y 0.000 0.000 0.000
Y2 Y 0.000 0.500 0.250
Zn1 Zn 0.000 0.500 0.750
Fe1 Fe 0.000 0.000 0.500
# - Energy relative to the elements: 2.65 kcal/mol of atoms
# - Energy: -44.41 eV per cell